1.
Here is a geometry-optimized NbTeSe2 structure from Alexandria via LeMat-Bulk. Energies are from PBE.

The total energy comes out at -5.60 eV per atom. The uncorrected formation energy comes out at -0.557 eV/atom.

Cell lengths 5.980, 3.376, 10.679 Å; angles 90.00, 100.22, 90.00 degrees
Positions (direct):
Nb 0.000 0.000 0.000
Nb 0.500 0.500 0.000
Te 0.239 0.996 0.546
Te 0.761 0.996 0.454
Se 0.117 0.500 0.837
Se 0.383 0.000 0.163
Se 0.617 0.000 0.837
Se 0.883 0.500 0.163


2.
Here is a geometry-optimized GaNCl2 structure from Alexandria via LeMat-Bulk. Energies are from PBE.

The total energy comes out at -2.95 eV per atom. The calculation puts the energy above the most stable polymorph in this dataset at 50 meV/atom. The uncorrected formation energy comes out at 0.816 eV/atom.

Cell lengths 6.426, 6.426, 9.074 Å; angles 90.00, 90.00, 90.00 degrees
Positions (direct):
Ga 0.000 0.250 0.375
Ga 0.000 0.750 0.625
Ga 0.500 0.250 0.125
Ga 0.500 0.750 0.875
N 0.000 0.250 0.875
N 0.000 0.750 0.125
N 0.500 0.250 0.625
N 0.500 0.750 0.375
Cl 0.000 0.000 0.000
Cl 0.000 0.500 0.000
Cl 0.250 0.250 0.750
Cl 0.250 0.750 0.250
Cl 0.500 0.000 0.500
Cl 0.500 0.500 0.500
Cl 0.750 0.250 0.750
Cl 0.750 0.750 0.250


3.
Here is a geometry-optimized Li5NbO5 structure from Alexandria via LeMat-Bulk. Energies are from PBE.

The total energy comes out at -6.26 eV per atom. The calculation puts the energy above the most stable polymorph in this dataset at 0 meV/atom. The uncorrected formation energy comes out at -2.225 eV/atom.

Cell lengths 5.322, 5.322, 5.882 Å; angles 107.33, 107.33, 44.93 degrees
Positions (direct):
Li 0.000 0.000 0.000
Li 0.288 0.288 0.157
Li 0.309 0.309 0.638
Li 0.691 0.691 0.362
Li 0.712 0.712 0.843
Nb 0.000 0.000 0.500
O 0.146 0.146 0.326
O 0.158 0.158 0.818
O 0.500 0.500 0.500
O 0.842 0.842 0.182
O 0.854 0.854 0.674


4.
Here is a geometry-optimized Er2MgCd6 structure from Alexandria via LeMat-Bulk. Energies are from PBE.

The total energy comes out at -2.02 eV per atom. The calculation puts the energy above the most stable polymorph in this dataset at 0 meV/atom. The energy of formation is -5.1 kcal/mol of atoms.

Cell lengths 8.619, 8.619, 3.304 Å; angles 90.00, 90.00, 120.00 degrees
Positions (direct):
Er 0.333 0.667 0.000
Er 0.667 0.333 0.000
Mg 0.000 0.000 0.000
Cd 0.000 0.331 0.500
Cd 0.000 0.669 0.500
Cd 0.331 0.000 0.500
Cd 0.331 0.331 0.500
Cd 0.669 0.000 0.500
Cd 0.669 0.669 0.500


5.
Here is a geometry-optimized Pr5Mg2 structure from Alexandria via LeMat-Bulk. Energies are from PBE.

The total energy comes out at -3.84 eV per atom. The calculation puts the energy above the most stable polymorph in this dataset at 52 meV/atom. The energy of formation is 0.8 kcal/mol of atoms.

Cell lengths 8.907, 8.907, 7.159 Å; angles 90.00, 90.00, 124.71 degrees
Positions (direct):
Pr 0.000 0.000 0.250
Pr 0.000 0.000 0.750
Pr 0.230 0.415 0.000
Pr 0.234 0.766 0.250
Pr 0.234 0.766 0.750
Pr 0.415 0.230 0.500
Pr 0.585 0.770 0.500
Pr 0.766 0.234 0.250
Pr 0.766 0.234 0.750
Pr 0.770 0.585 0.000
Mg 0.150 0.394 0.500
Mg 0.394 0.150 0.000
Mg 0.606 0.850 0.000
Mg 0.850 0.606 0.500


6.
Here is a geometry-optimized Dy2ZrS5 structure from Alexandria via LeMat-Bulk. Energies are from PBE.

The total energy comes out at -6.67 eV per atom. The calculation puts the energy above the most stable polymorph in this dataset at 0 meV/atom. The uncorrected formation energy comes out at -1.874 eV/atom.

Cell lengths 11.611, 7.757, 7.269 Å; angles 90.00, 90.00, 90.00 degrees
Positions (direct):
Dy 0.179 0.003 0.020
Dy 0.179 0.497 0.020
Dy 0.321 0.503 0.520
Dy 0.321 0.997 0.520
Dy 0.679 0.003 0.480
Dy 0.679 0.497 0.480
Dy 0.821 0.503 0.980
Dy 0.821 0.997 0.980
Zr 0.006 0.750 0.579
Zr 0.494 0.250 0.079
Zr 0.506 0.750 0.921
Zr 0.994 0.250 0.421
S 0.003 0.750 0.950
S 0.096 0.038 0.660
S 0.096 0.462 0.660
S 0.182 0.750 0.330
S 0.208 0.250 0.308
S 0.292 0.750 0.808
S 0.318 0.250 0.830
S 0.404 0.538 0.160
S 0.404 0.962 0.160
S 0.497 0.250 0.450
S 0.503 0.750 0.550
S 0.596 0.038 0.840
S 0.596 0.462 0.840
S 0.682 0.750 0.170
S 0.708 0.250 0.192
S 0.792 0.750 0.692
S 0.818 0.250 0.670
S 0.904 0.538 0.340
S 0.904 0.962 0.340
S 0.997 0.250 0.050


7.
Here is a geometry-optimized TbY2Ru3 structure from Alexandria via LeMat-Bulk. Energies are from PBE.

The total energy comes out at -7.84 eV per atom. The energy of formation is -6.5 kcal/mol of atoms.

Cell lengths 4.815, 14.456, 3.423 Å; angles 90.00, 90.00, 90.00 degrees
Positions (direct):
Tb 0.000 0.000 0.000
Tb 0.500 0.500 0.000
Y 0.000 0.333 0.000
Y 0.000 0.667 0.000
Y 0.500 0.167 0.000
Y 0.500 0.833 0.000
Ru 0.000 0.166 0.500
Ru 0.000 0.500 0.500
Ru 0.000 0.834 0.500
Ru 0.500 0.000 0.500
Ru 0.500 0.334 0.500
Ru 0.500 0.666 0.500


8.
Here is a geometry-optimized PmInAu5 structure from Alexandria via LeMat-Bulk. Energies are from PBE.

The total energy comes out at -3.83 eV per atom. The energy of formation is -9.8 kcal/mol of atoms.

Cell lengths 9.069, 5.744, 11.316 Å; angles 90.00, 90.00, 90.00 degrees
Positions (direct):
Pm 0.249 0.250 0.051
Pm 0.251 0.750 0.551
Pm 0.749 0.250 0.449
Pm 0.751 0.750 0.949
In 0.152 0.750 0.846
In 0.348 0.250 0.346
In 0.652 0.750 0.654
In 0.848 0.250 0.154
Au 0.062 0.010 0.301
Au 0.062 0.490 0.301
Au 0.076 0.750 0.077
Au 0.098 0.250 0.521
Au 0.181 0.250 0.778
Au 0.319 0.750 0.278
Au 0.402 0.750 0.021
Au 0.424 0.250 0.577
Au 0.438 0.510 0.801
Au 0.438 0.990 0.801
Au 0.562 0.010 0.199
Au 0.562 0.490 0.199
Au 0.576 0.750 0.423
Au 0.598 0.250 0.979
Au 0.681 0.250 0.722
Au 0.819 0.750 0.222
Au 0.902 0.750 0.479
Au 0.924 0.250 0.923
Au 0.938 0.510 0.699
Au 0.938 0.990 0.699


9.
Here is a geometry-optimized SrInIBr2 structure from Alexandria via LeMat-Bulk. Energies are from PBE.

The total energy comes out at -3.16 eV per atom. The calculation puts the energy above the most stable polymorph in this dataset at 107 meV/atom. The uncorrected formation energy comes out at -1.296 eV/atom.

Cell lengths 5.910, 5.910, 6.506 Å; angles 90.00, 90.00, 90.00 degrees
Positions (direct):
Sr 0.000 0.000 0.000
In 0.500 0.500 0.500
I 0.000 0.000 0.500
Br 0.000 0.500 0.000
Br 0.500 0.000 0.000


10.
Here is a geometry-optimized TbPr2Tm12 structure from Alexandria via LeMat-Bulk. Energies are from PBE.

The total energy comes out at -4.41 eV per atom. The energy of formation is 2.7 kcal/mol of atoms.

Cell lengths 3.519, 5.546, 24.228 Å; angles 90.00, 94.10, 90.00 degrees
Positions (direct):
Tb 0.000 0.000 0.000
Pr 0.363 0.000 0.727
Pr 0.637 0.000 0.273
Tm 0.069 0.000 0.135
Tm 0.101 0.500 0.200
Tm 0.168 0.500 0.332
Tm 0.216 0.000 0.430
Tm 0.277 0.500 0.554
Tm 0.461 0.500 0.926
Tm 0.539 0.500 0.074
Tm 0.723 0.500 0.446
Tm 0.784 0.000 0.570
Tm 0.832 0.500 0.668
Tm 0.899 0.500 0.800
Tm 0.931 0.000 0.865


11.
Here is a geometry-optimized TbHoTlIr structure from Alexandria via LeMat-Bulk. Energies are from PBE.

The total energy comes out at -5.59 eV per atom. The calculation puts the energy above the most stable polymorph in this dataset at 126 meV/atom. The energy of formation is -11.2 kcal/mol of atoms.

Cell lengths 7.209, 7.209, 7.209 Å; angles 90.00, 90.00, 90.00 degrees
Positions (direct):
Tb 0.000 0.000 0.000
Tb 0.000 0.500 0.500
Tb 0.500 0.000 0.500
Tb 0.500 0.500 0.000
Ho 0.000 0.000 0.500
Ho 0.000 0.500 0.000
Ho 0.500 0.000 0.000
Ho 0.500 0.500 0.500
Tl 0.250 0.250 0.250
Tl 0.250 0.750 0.750
Tl 0.750 0.250 0.750
Tl 0.750 0.750 0.250
Ir 0.250 0.250 0.750
Ir 0.250 0.750 0.250
Ir 0.750 0.250 0.250
Ir 0.750 0.750 0.750


12.
Here is a geometry-optimized La3YSc2 structure from Alexandria via LeMat-Bulk. Energies are from PBE.

The total energy comes out at -5.41 eV per atom. The energy of formation is 5.5 kcal/mol of atoms.

Cell lengths 8.775, 8.775, 5.337 Å; angles 90.00, 90.00, 72.78 degrees
Positions (direct):
La 0.060 0.940 0.750
La 0.085 0.358 0.250
La 0.358 0.085 0.750
La 0.642 0.915 0.250
La 0.915 0.642 0.750
La 0.940 0.060 0.250
Y 0.284 0.716 0.250
Y 0.716 0.284 0.750
Sc 0.311 0.471 0.750
Sc 0.471 0.311 0.250
Sc 0.529 0.689 0.750
Sc 0.689 0.529 0.250


13.
Here is a geometry-optimized Nb2FeAg2S6 structure from Alexandria via LeMat-Bulk. Energies are from PBE.

The total energy comes out at -5.96 eV per atom. The uncorrected formation energy comes out at -0.587 eV/atom.

Cell lengths 5.976, 5.976, 7.599 Å; angles 95.46, 95.46, 123.12 degrees
Positions (direct):
Nb 0.134 0.866 0.000
Nb 0.866 0.134 0.000
Fe 0.500 0.500 0.000
Ag 0.353 0.647 0.500
Ag 0.647 0.353 0.500
S 0.135 0.135 0.782
S 0.242 0.569 0.179
S 0.431 0.758 0.821
S 0.569 0.242 0.179
S 0.758 0.431 0.821
S 0.865 0.865 0.218


14.
Here is a geometry-optimized CaTbPd2 structure from Alexandria via LeMat-Bulk. Energies are from PBE.

The total energy comes out at -5.03 eV per atom. The energy of formation is -18.0 kcal/mol of atoms.

Cell lengths 7.028, 7.028, 7.028 Å; angles 90.00, 90.00, 90.00 degrees
Positions (direct):
Ca 0.000 0.000 0.000
Ca 0.000 0.500 0.500
Ca 0.500 0.000 0.500
Ca 0.500 0.500 0.000
Tb 0.000 0.000 0.500
Tb 0.000 0.500 0.000
Tb 0.500 0.000 0.000
Tb 0.500 0.500 0.500
Pd 0.250 0.250 0.250
Pd 0.250 0.250 0.750
Pd 0.250 0.750 0.250
Pd 0.250 0.750 0.750
Pd 0.750 0.250 0.250
Pd 0.750 0.250 0.750
Pd 0.750 0.750 0.250
Pd 0.750 0.750 0.750


15.
Here is a geometry-optimized Pa3Tc5N12 structure from Alexandria via LeMat-Bulk. Energies are from PBE.

The total energy comes out at -9.59 eV per atom. The uncorrected formation energy comes out at -0.581 eV/atom.

Cell lengths 10.959, 10.959, 10.959 Å; angles 109.47, 109.47, 109.47 degrees
Positions (direct):
Pa 0.125 0.250 0.375
Pa 0.125 0.375 0.750
Pa 0.250 0.375 0.125
Pa 0.250 0.875 0.625
Pa 0.375 0.125 0.250
Pa 0.375 0.750 0.125
Pa 0.625 0.250 0.875
Pa 0.625 0.875 0.750
Pa 0.750 0.125 0.375
Pa 0.750 0.625 0.875
Pa 0.875 0.625 0.250
Pa 0.875 0.750 0.625
Tc 0.000 0.000 0.000
Tc 0.000 0.000 0.500
Tc 0.000 0.500 0.000
Tc 0.000 0.500 0.500
Tc 0.125 0.750 0.875
Tc 0.125 0.875 0.250
Tc 0.250 0.125 0.875
Tc 0.250 0.625 0.375
Tc 0.375 0.250 0.625
Tc 0.375 0.625 0.750
Tc 0.500 0.000 0.000
Tc 0.500 0.000 0.500
Tc 0.500 0.500 0.000
Tc 0.500 0.500 0.500
Tc 0.625 0.375 0.250
Tc 0.625 0.750 0.375
Tc 0.750 0.375 0.625
Tc 0.750 0.875 0.125
Tc 0.875 0.125 0.750
Tc 0.875 0.250 0.125
N 0.028 0.207 0.126
N 0.028 0.320 0.901
N 0.081 0.707 0.680
N 0.081 0.874 0.401
N 0.099 0.626 0.419
N 0.099 0.972 0.680
N 0.126 0.028 0.207
N 0.126 0.599 0.919
N 0.180 0.207 0.581
N 0.180 0.472 0.599
N 0.207 0.126 0.028
N 0.207 0.581 0.180
N 0.293 0.320 0.919
N 0.293 0.472 0.374
N 0.320 0.901 0.028
N 0.320 0.919 0.293
N 0.374 0.293 0.472
N 0.374 0.581 0.901
N 0.401 0.081 0.874
N 0.401 0.820 0.528
N 0.419 0.099 0.626
N 0.419 0.820 0.793
N 0.472 0.374 0.293
N 0.472 0.599 0.180
N 0.528 0.401 0.820
N 0.528 0.626 0.707
N 0.581 0.180 0.207
N 0.581 0.901 0.374
N 0.599 0.180 0.472
N 0.599 0.919 0.126
N 0.626 0.419 0.099
N 0.626 0.707 0.528
N 0.680 0.081 0.707
N 0.680 0.099 0.972
N 0.707 0.528 0.626
N 0.707 0.680 0.081
N 0.793 0.419 0.820
N 0.793 0.874 0.972
N 0.820 0.528 0.401
N 0.820 0.793 0.419
N 0.874 0.401 0.081
N 0.874 0.972 0.793
N 0.901 0.028 0.320
N 0.901 0.374 0.581
N 0.919 0.126 0.599
N 0.919 0.293 0.320
N 0.972 0.680 0.099
N 0.972 0.793 0.874


16.
Here is a geometry-optimized CoBTe structure from Alexandria via LeMat-Bulk. Energies are from PBE.

The total energy comes out at -5.14 eV per atom. The calculation puts the energy above the most stable polymorph in this dataset at 194 meV/atom. The uncorrected formation energy comes out at 0.497 eV/atom.

Cell lengths 3.428, 4.323, 7.422 Å; angles 90.00, 90.00, 90.00 degrees
Positions (direct):
Co 0.000 0.000 0.000
Co 0.000 0.500 0.500
B 0.500 0.000 0.889
B 0.500 0.500 0.389
Te 0.000 0.000 0.661
Te 0.000 0.500 0.161


17.
Here is a geometry-optimized Ca2TcAs structure from Alexandria via LeMat-Bulk. Energies are from PBE.

The total energy comes out at -4.67 eV per atom. The energy of formation is 1.9 kcal/mol of atoms.

Cell lengths 6.438, 8.672, 3.035 Å; angles 90.00, 90.00, 90.00 degrees
Positions (direct):
Ca 0.250 0.250 0.000
Ca 0.250 0.750 0.000
Ca 0.750 0.250 0.000
Ca 0.750 0.750 0.000
Tc 0.000 0.000 0.500
Tc 0.500 0.500 0.500
As 0.000 0.500 0.500
As 0.500 0.000 0.500


18.
Here is a geometry-optimized Y4HoTm7 structure from Alexandria via LeMat-Bulk. Energies are from PBE.

The total energy comes out at -4.85 eV per atom. The calculation puts the energy above the most stable polymorph in this dataset at 212 meV/atom. The energy of formation is 6.9 kcal/mol of atoms.

Cell lengths 6.649, 6.649, 12.584 Å; angles 115.06, 115.06, 51.76 degrees
Positions (direct):
Y 0.061 0.061 0.322
Y 0.361 0.361 0.224
Y 0.639 0.639 0.776
Y 0.939 0.939 0.678
Ho 0.500 0.500 0.000
Tm 0.000 0.000 0.000
Tm 0.213 0.213 0.925
Tm 0.246 0.246 0.682
Tm 0.365 0.365 0.499
Tm 0.635 0.635 0.501
Tm 0.754 0.754 0.318
Tm 0.787 0.787 0.075